1.
{
  "formula": "Al2FeSe3S",
  "functional": "PBE-GGA",
  "state": "relaxed",
  "dft_energy_ev_per_cell": -35.1,
  "lattice": [[-1.785, -4.466, -2.824], [3.828, -3.117, 2.654], [-4.594, 2.724, 3.909]],
  "species": ["S", "Se", "Se", "Se", "Al", "Al", "Fe"],
  "frac_coords": [[0.128, 0.116, 0.751], [0.873, 0.372, 0.260], [0.625, 0.618, 0.735], [0.384, 0.892, 0.259], [0.004, 0.004, 0.996], [0.246, 0.759, 0.505], [0.490, 0.490, 0.993]]
}



2.
{
  "formula": "In2AgIr",
  "functional": "PBE-GGA",
  "state": "relaxed",
  "dft_energy_ev_per_cell": -16.1,
  "lattice": [[-0.971, 0.912, 4.541], [-4.495, 0.161, 1.472], [-1.700, -3.423, 2.790]],
  "species": ["Ag", "Ir", "In", "In"],
  "frac_coords": [[0.750, 0.750, 0.750], [0.500, 0.500, 0.500], [0.250, 0.250, 0.250], [0.000, 0.000, 0.000]]
}



3.
{
  "formula": "Er3Lu4Te2Pd2",
  "functional": "PBE-GGA",
  "state": "relaxed",
  "dft_energy_ev_per_cell": -57.7,
  "lattice": [[9.249, -0.146, 0.588], [-4.909, -0.671, 7.834], [4.023, -3.121, -7.746]],
  "species": ["Er", "Pd", "Pd", "Er", "Lu", "Lu", "Lu", "Te", "Er", "Lu", "Te"],
  "frac_coords": [[0.311, 0.627, 0.683], [0.693, 0.930, 0.763], [0.167, 0.930, 0.237], [0.944, 0.627, 0.317], [0.548, 0.418, 0.131], [0.911, 0.267, 0.644], [0.623, 0.267, 0.356], [0.661, 0.661, 0.000], [0.001, 0.001, 0.000], [0.287, 0.418, 0.869], [0.268, 0.768, 0.500]]
}



Number 1 is which compound?
Al2FeSe3S



What is the formula in the third record?
Er3Lu4Te2Pd2